(1)
# TaSe2I2 (PBE-GGA, optimized geometry)
data_TaSe2I2
_chemical_formula_sum 'Ta2 Se4 I4'
_cell_length_a 4.174
_cell_length_b 4.174
_cell_length_c 19.566
_cell_angle_alpha 90.00
_cell_angle_beta 90.00
_cell_angle_gamma 90.00
_symmetry_space_group_name_H-M 'I 4/m m m'
_symmetry_Int_Tables_number 139
_symmetry_space_group_name_Hall '-I 4 2'
loop_
_atom_site_label
_atom_site_type_symbol
_atom_site_fract_x
_atom_site_fract_y
_atom_site_fract_z
Ta1 Ta 0.000 0.000 0.000
Se1 Se 0.000 0.000 0.439
I1 I 0.000 0.500 0.250
# ΔE_f (raw)   0.836 eV per atom
# Magnetic moment   5.29 μB per cell
# Total DFT energy (no corrections)   -35.5 eV per cell

(2)
# La2Tb9Y (PBE-GGA, optimized geometry)
data_La2Tb9Y
_chemical_formula_sum 'La2 Tb9 Y1'
_cell_length_a 5.083
_cell_length_b 5.083
_cell_length_c 15.263
_cell_angle_alpha 90.00
_cell_angle_beta 90.00
_cell_angle_gamma 90.00
_symmetry_space_group_name_H-M 'P 4/m m m'
_symmetry_Int_Tables_number 123
_symmetry_space_group_name_Hall '-P 4 2'
loop_
_atom_site_label
_atom_site_type_symbol
_atom_site_fract_x
_atom_site_fract_y
_atom_site_fract_z
La1 La 0.000 0.000 0.167
Tb1 Tb 0.000 0.500 0.000
Tb2 Tb 0.000 0.500 0.336
Tb3 Tb 0.500 0.500 0.169
Tb4 Tb 0.500 0.500 0.500
Y1 Y 0.000 0.000 0.500
# Magnetic moment   0.00 μB per cell
# Total DFT energy (no corrections)   -57.7 eV per cell
# ΔH_f (0 K)   26 meV/atom

(3)
# ScBe2Co (PBE-GGA, optimized geometry)
data_ScBe2Co
_chemical_formula_sum 'Sc2 Be4 Co2'
_cell_length_a 3.199
_cell_length_b 4.172
_cell_length_c 7.239
_cell_angle_alpha 90.00
_cell_angle_beta 90.00
_cell_angle_gamma 90.00
_symmetry_space_group_name_H-M 'I m m 2'
_symmetry_Int_Tables_number 44
loop_
_symmetry_equiv_pos_as_xyz
'x,y,z'
'-x,-y,z'
'-x,y,z'
'x,-y,z'
'x+1/2,y+1/2,z+1/2'
'-x+1/2,-y+1/2,z+1/2'
'-x+1/2,y+1/2,z+1/2'
'x+1/2,-y+1/2,z+1/2'
loop_
_atom_site_label
_atom_site_type_symbol
_atom_site_fract_x
_atom_site_fract_y
_atom_site_fract_z
Sc1 Sc 0.000 0.000 0.000
Be1 Be 0.000 0.000 0.516
Be2 Be 0.000 0.500 0.214
Co1 Co 0.000 0.500 0.780
# Magnetic moment   0.00 μB per cell
# Distance to the lowest polymorph of the same formula   204 meV per atom
# Total DFT energy (no corrections)   -41.8 eV per cell
# ΔH_f (0 K)   2 meV/atom

(4)
# LiLa2Re (PBE-GGA, optimized geometry)
data_LiLa2Re
_chemical_formula_sum 'Li2 La4 Re2'
_cell_length_a 12.285
_cell_length_b 3.561
_cell_length_c 5.148
_cell_angle_alpha 90.00
_cell_angle_beta 114.56
_cell_angle_gamma 90.00
_symmetry_space_group_name_H-M 'C 1 m 1'
_symmetry_Int_Tables_number 8
loop_
_symmetry_equiv_pos_as_xyz
'x,y,z'
'x,-y,z'
'x+1/2,y+1/2,z'
'x+1/2,-y+1/2,z'
loop_
_atom_site_label
_atom_site_type_symbol
_atom_site_fract_x
_atom_site_fract_y
_atom_site_fract_z
Li1 Li 0.000 0.000 0.000
La1 La 0.114 0.500 0.614
La2 La 0.315 0.500 0.315
Re1 Re 0.311 0.000 0.809
# Magnetic moment   0.00 μB per cell
# Total DFT energy (no corrections)   -45.7 eV per cell
# ΔH_f (0 K)   335 meV/atom

(5)
# Si2NiCl (PBE-GGA, optimized geometry)
data_Si2NiCl
_chemical_formula_sum 'Si4 Ni2 Cl2'
_cell_length_a 4.070
_cell_length_b 4.091
_cell_length_c 9.111
_cell_angle_alpha 90.00
_cell_angle_beta 102.31
_cell_angle_gamma 90.00
_symmetry_space_group_name_H-M 'C 1 m 1'
_symmetry_Int_Tables_number 8
loop_
_symmetry_equiv_pos_as_xyz
'x,y,z'
'x,-y,z'
'x+1/2,y+1/2,z'
'x+1/2,-y+1/2,z'
loop_
_atom_site_label
_atom_site_type_symbol
_atom_site_fract_x
_atom_site_fract_y
_atom_site_fract_z
Si1 Si 0.000 0.000 0.000
Si2 Si 0.154 0.000 0.322
Ni1 Ni 0.062 0.500 0.131
Cl1 Cl 0.391 0.500 0.772
# ΔE_f (raw)   -0.167 eV per atom
# Magnetic moment   0.00 μB per cell
# Distance to the lowest polymorph of the same formula   158 meV per atom
# Total DFT energy (no corrections)   -38.3 eV per cell

(6)
# TaCuSnRh (PBE-GGA, optimized geometry)
data_TaCuSnRh
_chemical_formula_sum 'Ta4 Cu4 Sn4 Rh4'
_cell_length_a 6.393
_cell_length_b 6.393
_cell_length_c 6.393
_cell_angle_alpha 90.00
_cell_angle_beta 90.00
_cell_angle_gamma 90.00
_symmetry_space_group_name_H-M 'F -4 3 m'
_symmetry_Int_Tables_number 216
_symmetry_space_group_name_Hall 'F -4 2 3'
loop_
_atom_site_label
_atom_site_type_symbol
_atom_site_fract_x
_atom_site_fract_y
_atom_site_fract_z
Ta1 Ta 0.000 0.000 0.000
Cu1 Cu 0.250 0.250 0.250
Sn1 Sn 0.000 0.000 0.500
Rh1 Rh 0.250 0.250 0.750
# Magnetic moment   0.00 μB per cell
# Total DFT energy (no corrections)   -111.2 eV per cell
# ΔH_f (0 K)   -121 meV/atom

(7)
# YTl2In (PBE-GGA, optimized geometry)
data_YTl2In
_chemical_formula_sum 'Y2 Tl4 In2'
_cell_length_a 3.739
_cell_length_b 5.882
_cell_length_c 10.512
_cell_angle_alpha 90.00
_cell_angle_beta 90.00
_cell_angle_gamma 90.00
_symmetry_space_group_name_H-M 'C m m m'
_symmetry_Int_Tables_number 65
_symmetry_space_group_name_Hall '-C 2 2'
loop_
_atom_site_label
_atom_site_type_symbol
_atom_site_fract_x
_atom_site_fract_y
_atom_site_fract_z
Y1 Y 0.000 0.000 0.000
Tl1 Tl 0.000 0.500 0.253
In1 In 0.000 0.000 0.500
# Magnetic moment   0.00 μB per cell
# Total DFT energy (no corrections)   -28.0 eV per cell
# ΔH_f (0 K)   -18 meV/atom

(8)
# Tb3PmTe (PBE-GGA, optimized geometry)
data_Tb3PmTe
_chemical_formula_sum 'Tb12 Pm4 Te4'
_cell_length_a 10.943
_cell_length_b 3.909
_cell_length_c 14.619
_cell_angle_alpha 90.00
_cell_angle_beta 90.00
_cell_angle_gamma 90.00
_symmetry_space_group_name_H-M 'P n m a'
_symmetry_Int_Tables_number 62
loop_
_symmetry_equiv_pos_as_xyz
'x,y,z'
'-x,-y,-z'
'-x+1/2,-y,z+1/2'
'x+1/2,y,-z+1/2'
'x+1/2,-y+1/2,-z+1/2'
'-x+1/2,y+1/2,z+1/2'
'-x,y+1/2,-z'
'x,-y+1/2,z'
loop_
_atom_site_label
_atom_site_type_symbol
_atom_site_fract_x
_atom_site_fract_y
_atom_site_fract_z
Tb1 Tb 0.066 0.250 0.085
Tb2 Tb 0.074 0.750 0.295
Tb3 Tb 0.182 0.750 0.707
Pm1 Pm 0.167 0.250 0.500
Te1 Te 0.153 0.250 0.876
# ΔE_f (raw)   -0.470 eV per atom
# Magnetic moment   0.00 μB per cell
# Total DFT energy (no corrections)   -96.5 eV per cell

(9)
# KCuCl2 (PBE-GGA, optimized geometry)
data_KCuCl2
_chemical_formula_sum 'K2 Cu2 Cl4'
_cell_length_a 14.025
_cell_length_b 3.943
_cell_length_c 4.547
_cell_angle_alpha 90.00
_cell_angle_beta 105.24
_cell_angle_gamma 90.00
_symmetry_space_group_name_H-M 'C 1 m 1'
_symmetry_Int_Tables_number 8
loop_
_symmetry_equiv_pos_as_xyz
'x,y,z'
'x,-y,z'
'x+1/2,y+1/2,z'
'x+1/2,-y+1/2,z'
loop_
_atom_site_label
_atom_site_type_symbol
_atom_site_fract_x
_atom_site_fract_y
_atom_site_fract_z
K1 K 0.000 0.000 0.000
Cu1 Cu 0.230 0.500 0.741
Cl1 Cl 0.065 0.500 0.552
Cl2 Cl 0.310 0.000 0.843
# ΔE_f (raw)   -1.161 eV per atom
# Magnetic moment   0.00 μB per cell
# Distance to the lowest polymorph of the same formula   42 meV per atom
# Total DFT energy (no corrections)   -27.1 eV per cell

(10)
# LaSbTeH (PBE-GGA, optimized geometry)
data_LaSbTeH
_chemical_formula_sum 'La1 Sb1 Te1 H1'
_cell_length_a 4.001
_cell_length_b 4.001
_cell_length_c 8.344
_cell_angle_alpha 90.00
_cell_angle_beta 90.00
_cell_angle_gamma 90.00
_symmetry_space_group_name_H-M 'P 4 m m'
_symmetry_Int_Tables_number 99
loop_
_symmetry_equiv_pos_as_xyz
'x,y,z'
'-y,x,z'
'-x,-y,z'
'y,-x,z'
'-x,y,z'
'y,x,z'
'x,-y,z'
'-y,-x,z'
loop_
_atom_site_label
_atom_site_type_symbol
_atom_site_fract_x
_atom_site_fract_y
_atom_site_fract_z
La1 La 0.000 0.000 0.000
Sb1 Sb 0.500 0.500 0.751
Te1 Te 0.500 0.500 0.186
H1 H 0.500 0.500 0.543
# Magnetic moment   0.00 μB per cell
# Distance to the lowest polymorph of the same formula   111 meV per atom
# Total DFT energy (no corrections)   -17.7 eV per cell

(11)
# MnBe2Rh (PBE-GGA, optimized geometry)
data_MnBe2Rh
_chemical_formula_sum 'Mn3 Be6 Rh3'
_cell_length_a 2.6347
_cell_length_b 2.6347
_cell_length_c 21.8517
_cell_angle_alpha 90.00
_cell_angle_beta 90.00
_cell_angle_gamma 120.00
_symmetry_space_group_name_H-M 'R -3 m'
_symmetry_Int_Tables_number 166
_symmetry_space_group_name_Hall '-R 3 2"'
loop_
_atom_site_label
_atom_site_type_symbol
_atom_site_fract_x
_atom_site_fract_y
_atom_site_fract_z
Mn1 Mn 0.0000 0.0000 0.0000
Be1 Be 0.0000 0.0000 0.2496
Rh1 Rh 0.0000 0.0000 0.5000
# Magnetic moment   5.25 μB per cell
# Distance to the lowest polymorph of the same formula   391 meV per atom
# Total DFT energy (no corrections)   -72.3 eV per cell
# ΔH_f (0 K)   -30 meV/atom

(12)
# ScTi3B (PBE-GGA, optimized geometry)
data_ScTi3B
_chemical_formula_sum 'Sc1 Ti3 B1'
_cell_length_a 4.413
_cell_length_b 4.413
_cell_length_c 4.413
_cell_angle_alpha 90.00
_cell_angle_beta 90.00
_cell_angle_gamma 90.00
_symmetry_space_group_name_H-M 'P m -3 m'
_symmetry_Int_Tables_number 221
_symmetry_space_group_name_Hall '-P 4 2 3'
loop_
_atom_site_label
_atom_site_type_symbol
_atom_site_fract_x
_atom_site_fract_y
_atom_site_fract_z
Sc1 Sc 0.000 0.000 0.000
Ti1 Ti 0.000 0.500 0.500
B1 B 0.500 0.500 0.500
# Magnetic moment   2.29 μB per cell
# Distance to the lowest polymorph of the same formula   0 meV per atom
# Total DFT energy (no corrections)   -36.9 eV per cell
# ΔH_f (0 K)   -34 meV/atom

(13)
# Nd2TlSb3Rh4 (PBE-GGA, optimized geometry)
data_Nd2TlSb3Rh4
_chemical_formula_sum 'Nd2 Tl1 Sb3 Rh4'
_cell_length_a 4.472
_cell_length_b 4.472
_cell_length_c 10.918
_cell_angle_alpha 90.00
_cell_angle_beta 90.00
_cell_angle_gamma 90.00
_symmetry_space_group_name_H-M 'P -4 m 2'
_symmetry_Int_Tables_number 115
loop_
_symmetry_equiv_pos_as_xyz
'x,y,z'
'y,-x,-z'
'-x,-y,z'
'-y,x,-z'
'-x,y,z'
'-y,-x,-z'
'x,-y,z'
'y,x,-z'
loop_
_atom_site_label
_atom_site_type_symbol
_atom_site_fract_x
_atom_site_fract_y
_atom_site_fract_z
Nd1 Nd 0.000 0.500 0.247
Tl1 Tl 0.000 0.000 0.500
Sb1 Sb 0.000 0.500 0.870
Sb2 Sb 0.500 0.500 0.500
Rh1 Rh 0.000 0.000 0.000
Rh2 Rh 0.000 0.500 0.638
Rh3 Rh 0.500 0.500 0.000
# ΔE_f (raw)   -0.679 eV per atom
# Magnetic moment   0.00 μB per cell
# Total DFT energy (no corrections)   -60.5 eV per cell